[1]
## LiLaSb (PBE)

Data for crystalline LiLaSb at its relaxed geometry.

a = 5.444 Å, b = 5.444 Å, c = 5.444 Å
α = 133.10°, β = 133.09°, γ = 68.50°
Fractional positions:
La1 0.005 0.005 0.000
Li1 0.343 0.343 0.000
Sb1 0.651 0.651 0.000

Computed properties:
Space group = I4mm
Magnetization = 0.25 μB per cell
Energy relative to the lowest polymorph listed for this composition = 358.0 meV/atom
Formation energy without anion corrections = -0.572 eV per atom



[2]
## NaAlSn (PBE)

Data for crystalline NaAlSn at its relaxed geometry.

a = 18.837 Å, b = 6.264 Å, c = 7.955 Å
α = 90.00°, β = 159.77°, γ = 90.00°
Fractional positions:
Na1 0.816 0.889 0.743
Na2 0.184 0.111 0.257
Na3 0.684 0.389 0.757
Na4 0.316 0.611 0.243
Sn1 0.673 0.374 0.307
Sn2 0.327 0.626 0.693
Sn3 0.827 0.874 0.193
Sn4 0.173 0.126 0.807
Al1 0.441 0.915 0.192
Al2 0.559 0.085 0.808
Al3 0.059 0.415 0.308
Al4 0.941 0.585 0.692

Computed properties:
Space group = P2_1/c
Magnetization = 0.00 μB per cell
Calculated formation energy = 29 meV per atom



[3]
## PdWN (PBE)

Data for crystalline PdWN at its relaxed geometry.

a = 4.952 Å, b = 6.435 Å, c = 6.250 Å
α = 90.00°, β = 90.00°, γ = 124.31°
Fractional positions:
N1 0.028 0.678 0.163
N2 0.472 0.322 0.663
N3 0.972 0.322 0.837
N4 0.528 0.678 0.337
W1 0.194 0.456 0.126
W2 0.306 0.544 0.626
W3 0.806 0.544 0.874
W4 0.694 0.456 0.374
Pd1 0.318 0.066 0.123
Pd2 0.182 0.934 0.623
Pd3 0.682 0.934 0.877
Pd4 0.818 0.066 0.377

Computed properties:
Space group = P2_1/c
Magnetization = 0.00 μB per cell
Formation energy without anion corrections = 0.048 eV per atom



[4]
## SnHgMoOs2 (PBE)

Data for crystalline SnHgMoOs2 at its relaxed geometry.

a = 4.756 Å, b = 5.185 Å, c = 4.756 Å
α = 90.00°, β = 90.00°, γ = 90.00°
Fractional positions:
Mo1 0.000 0.000 0.000
Os1 0.000 0.000 0.500
Os2 0.500 0.000 0.000
Hg1 0.500 0.500 0.500
Sn1 0.000 0.500 0.000

Computed properties:
Space group = P4/mmm
Magnetization = 0.56 μB per cell
Energy relative to the lowest polymorph listed for this composition = 0.0 meV/atom
Calculated formation energy = 1673 meV per atom



[5]
## Ca2Zn2CuNi5 (PBE)

Data for crystalline Ca2Zn2CuNi5 at its relaxed geometry.

a = 3.510 Å, b = 9.265 Å, c = 9.265 Å
α = 90.00°, β = 90.00°, γ = 90.00°
Fractional positions:
Ca1 0.000 0.677 0.177
Ca2 0.000 0.323 0.823
Ca3 0.000 0.177 0.323
Ca4 0.000 0.823 0.677
Zn1 0.000 0.123 0.623
Zn2 0.000 0.877 0.377
Zn3 0.000 0.623 0.877
Zn4 0.000 0.377 0.123
Cu1 0.000 0.000 0.000
Cu2 0.000 0.500 0.500
Ni1 0.500 0.194 0.056
Ni2 0.500 0.806 0.944
Ni3 0.500 0.056 0.806
Ni4 0.500 0.694 0.444
Ni5 0.500 0.944 0.194
Ni6 0.500 0.306 0.556
Ni7 0.500 0.556 0.694
Ni8 0.500 0.444 0.306
Ni9 0.500 0.500 0.000
Ni10 0.500 0.000 0.500

Computed properties:
Space group = P4/mbm
Magnetization = 0.00 μB per cell
Calculated formation energy = -33 meV per atom



[6]
## CdRu2CN (PBE)

Data for crystalline CdRu2CN at its relaxed geometry.

a = 3.975 Å, b = 4.231 Å, c = 3.975 Å
α = 90.00°, β = 90.00°, γ = 90.00°
Fractional positions:
Ru1 0.000 0.000 0.500
Ru2 0.500 0.000 0.000
C1 0.000 0.500 0.000
N1 0.000 0.000 0.000
Cd1 0.500 0.500 0.500

Computed properties:
Space group = P4/mmm
Magnetization = 0.07 μB per cell
Formation energy without anion corrections = 1.376 eV per atom



[7]
## TbCePmY (PBE)

Data for crystalline TbCePmY at its relaxed geometry.

a = 5.718 Å, b = 5.718 Å, c = 5.718 Å
α = 60.00°, β = 60.00°, γ = 60.00°
Fractional positions:
Y1 0.750 0.750 0.750
Tb1 0.500 0.500 0.500
Ce1 0.250 0.250 0.250
Pm1 0.000 0.000 0.000

Computed properties:
Space group = F-43m
Magnetization = 3.19 μB per cell
Calculated formation energy = 191 meV per atom



[8]
## Sr2TmF6 (PBE)

Data for crystalline Sr2TmF6 at its relaxed geometry.

a = 5.409 Å, b = 5.409 Å, c = 11.724 Å
α = 90.00°, β = 90.00°, γ = 90.00°
Fractional positions:
Sr1 0.000 0.000 0.331
Sr2 0.500 0.500 0.831
Sr3 0.500 0.500 0.169
Sr4 0.000 0.000 0.669
Tm1 0.000 0.000 0.000
Tm2 0.500 0.500 0.500
F1 0.321 0.321 0.356
F2 0.679 0.679 0.356
F3 0.179 0.821 0.856
F4 0.821 0.179 0.856
F5 0.179 0.821 0.144
F6 0.821 0.179 0.144
F7 0.321 0.321 0.644
F8 0.679 0.679 0.644
F9 0.288 0.288 0.000
F10 0.712 0.712 0.000
F11 0.212 0.788 0.500
F12 0.788 0.212 0.500

Computed properties:
Space group = P4_2/mnm
Magnetization = 0.00 μB per cell
Formation energy without anion corrections = -3.707 eV per atom



[9]
## NbRh2W (PBE)

Data for crystalline NbRh2W at its relaxed geometry.

a = 7.051 Å, b = 7.051 Å, c = 5.686 Å
α = 51.68°, β = 51.68°, γ = 90.00°
Fractional positions:
Nb1 0.500 0.500 0.000
Nb2 0.250 0.750 0.500
Rh1 0.642 0.125 0.250
Rh2 0.108 0.625 0.250
Rh3 0.375 0.358 0.750
Rh4 0.875 0.892 0.750
W1 0.000 0.000 0.000
W2 0.750 0.250 0.500

Computed properties:
Space group = I-42d
Magnetization = 0.00 μB per cell
Energy relative to the lowest polymorph listed for this composition = 574.5 meV/atom
Calculated formation energy = 292 meV per atom



[10]
## Hf2ZrTi2 (PBE)

Data for crystalline Hf2ZrTi2 at its relaxed geometry.

a = 7.918 Å, b = 7.918 Å, c = 3.321 Å
α = 90.00°, β = 90.00°, γ = 90.00°
Fractional positions:
Hf1 0.171 0.671 0.500
Hf2 0.671 0.829 0.500
Hf3 0.829 0.329 0.500
Hf4 0.329 0.171 0.500
Zr1 0.000 0.000 0.000
Zr2 0.500 0.500 0.000
Ti1 0.377 0.877 0.000
Ti2 0.877 0.623 0.000
Ti3 0.623 0.123 0.000
Ti4 0.123 0.377 0.000

Computed properties:
Space group = P4/mbm
Magnetization = 0.00 μB per cell
Energy relative to the lowest polymorph listed for this composition = 0.0 meV/atom
Calculated formation energy = 133 meV per atom